A geometry-optimized Mg7AgPd4 structure. Source: the Alexandria database, functional PBE.

```
Mg7AgPd4
1.0
-4.3966 0.0613 2.1845
-4.9789 -3.7014 -4.3994
-1.2913 -6.1725 3.0917
Mg Ag Pd
7 1 4
Direct
0.2136 0.1219 0.4508 Mg
0.2811 0.6726 0.7651 Mg
0.5000 0.0000 0.0000 Mg
0.7189 0.3274 0.2349 Mg
0.7864 0.8781 0.5492 Mg
0.0671 0.6191 0.2468 Mg
0.9329 0.3809 0.7532 Mg
0.0000 0.0000 0.0000 Ag
0.3077 0.3493 0.0353 Pd
0.6923 0.6507 0.9647 Pd
0.5612 0.2409 0.6368 Pd
0.4388 0.7591 0.3632 Pd
```

Calculated values
Formation enthalpy at 0 K (eV/atom): -0.374